A relaxed structure of LiTmAs. Source: OQMD via LeMat-Bulk, functional PBE.

E	-4.066	eV per atom
total magnetization	0.002	μB per atom
space group	F-43m (216)

```
data_LiTmAs
_chemical_formula_sum 'Li1 Tm1 As1'
_space_group_name_H-M_alt 'P 1'
_space_group_IT_number 1
_cell_length_a 4.636
_cell_length_b 4.636
_cell_length_c 4.636
_cell_angle_alpha 60.00
_cell_angle_beta 60.00
_cell_angle_gamma 60.00
loop_
_space_group_symop_operation_xyz
'x,y,z'
loop_
_atom_site_label
_atom_site_type_symbol
_atom_site_fract_x
_atom_site_fract_y
_atom_site_fract_z
As1 As 0.250 0.250 0.250
Li1 Li 0.750 0.750 0.750
Tm1 Tm 0.000 0.000 0.000
```

---

A relaxed structure of NaCoHgTe. Source: OQMD via LeMat-Bulk, functional PBE.

E	-2.518	eV per atom
total magnetization	0.483	μB per atom
space group	F-43m (216)

```
data_NaCoHgTe
_chemical_formula_sum 'Na1 Co1 Hg1 Te1'
_space_group_name_H-M_alt 'P 1'
_space_group_IT_number 1
_cell_length_a 5.067
_cell_length_b 5.067
_cell_length_c 5.067
_cell_angle_alpha 60.00
_cell_angle_beta 60.00
_cell_angle_gamma 60.00
loop_
_space_group_symop_operation_xyz
'x,y,z'
loop_
_atom_site_label
_atom_site_type_symbol
_atom_site_fract_x
_atom_site_fract_y
_atom_site_fract_z
Co1 Co 0.000 0.000 0.000
Hg1 Hg 0.250 0.250 0.250
Na1 Na 0.750 0.750 0.750
Te1 Te 0.500 0.500 0.500
```

---

A relaxed structure of RbPPdO. Source: OQMD via LeMat-Bulk, functional PBE.

E	-4.572	eV per atom
space group	Pmc2_1 (26)

```
data_RbPPdO
_chemical_formula_sum 'Rb2 P2 Pd2 O2'
_space_group_name_H-M_alt 'P 1'
_space_group_IT_number 1
_cell_length_a 2.858
_cell_length_b 7.846
_cell_length_c 6.642
_cell_angle_alpha 90.00
_cell_angle_beta 90.00
_cell_angle_gamma 90.00
loop_
_space_group_symop_operation_xyz
'x,y,z'
loop_
_atom_site_label
_atom_site_type_symbol
_atom_site_fract_x
_atom_site_fract_y
_atom_site_fract_z
O1 O 0.000 0.271 0.274
O2 O 0.000 0.729 0.774
P1 P 0.500 0.234 0.455
P2 P 0.500 0.766 0.955
Pd1 Pd 0.000 0.970 0.104
Pd2 Pd 0.000 0.030 0.604
Rb1 Rb 0.500 0.655 0.421
Rb2 Rb 0.500 0.345 0.921
```

---

A relaxed structure of FePt2. Source: OQMD via LeMat-Bulk, functional PBE.

E	-4.647	eV per atom
total magnetization	1.297	μB per atom
formation energy	2160	meV/atom
space group	Fd-3m (227)

```
data_FePt2
_chemical_formula_sum 'Fe2 Pt4'
_space_group_name_H-M_alt 'P 1'
_space_group_IT_number 1
_cell_length_a 7.283
_cell_length_b 7.283
_cell_length_c 7.283
_cell_angle_alpha 60.00
_cell_angle_beta 60.00
_cell_angle_gamma 60.00
loop_
_space_group_symop_operation_xyz
'x,y,z'
loop_
_atom_site_label
_atom_site_type_symbol
_atom_site_fract_x
_atom_site_fract_y
_atom_site_fract_z
Fe1 Fe 0.250 0.250 0.250
Fe2 Fe 0.500 0.500 0.500
Pt1 Pt 0.875 0.375 0.375
Pt2 Pt 0.375 0.875 0.375
Pt3 Pt 0.375 0.375 0.375
Pt4 Pt 0.375 0.375 0.875
```

---

A relaxed structure of LiTaFePb. Source: OQMD via LeMat-Bulk, functional PBE.

E	-6.065	eV per atom
total magnetization	0.376	μB per atom
space group	F-43m (216)

```
data_LiTaFePb
_chemical_formula_sum 'Li1 Ta1 Fe1 Pb1'
_space_group_name_H-M_alt 'P 1'
_space_group_IT_number 1
_cell_length_a 4.599
_cell_length_b 4.599
_cell_length_c 4.599
_cell_angle_alpha 60.00
_cell_angle_beta 60.00
_cell_angle_gamma 60.00
loop_
_space_group_symop_operation_xyz
'x,y,z'
loop_
_atom_site_label
_atom_site_type_symbol
_atom_site_fract_x
_atom_site_fract_y
_atom_site_fract_z
Fe1 Fe 0.000 0.000 0.000
Li1 Li 0.750 0.750 0.750
Pb1 Pb 0.500 0.500 0.500
Ta1 Ta 0.250 0.250 0.250
```

---

A relaxed structure of AcZnPt. Source: OQMD via LeMat-Bulk, functional PBE.

E	-3.992	eV per atom
total magnetization	0.000	μB per atom
formation energy	-183	meV/atom
space group	F-43m (216)

```
data_AcZnPt
_chemical_formula_sum 'Ac1 Zn1 Pt1'
_space_group_name_H-M_alt 'P 1'
_space_group_IT_number 1
_cell_length_a 5.039
_cell_length_b 5.039
_cell_length_c 5.039
_cell_angle_alpha 60.00
_cell_angle_beta 60.00
_cell_angle_gamma 60.00
loop_
_space_group_symop_operation_xyz
'x,y,z'
loop_
_atom_site_label
_atom_site_type_symbol
_atom_site_fract_x
_atom_site_fract_y
_atom_site_fract_z
Ac1 Ac 0.000 0.000 0.000
Pt1 Pt 0.250 0.250 0.250
Zn1 Zn 0.750 0.750 0.750
```

---

A relaxed structure of KSrTh. Source: OQMD via LeMat-Bulk, functional PBE.

E	-2.019	eV per atom
total magnetization	0.805	μB per atom
space group	F-43m (216)

```
data_KSrTh
_chemical_formula_sum 'K1 Sr1 Th1'
_space_group_name_H-M_alt 'P 1'
_space_group_IT_number 1
_cell_length_a 6.061
_cell_length_b 6.061
_cell_length_c 6.061
_cell_angle_alpha 60.00
_cell_angle_beta 60.00
_cell_angle_gamma 60.00
loop_
_space_group_symop_operation_xyz
'x,y,z'
loop_
_atom_site_label
_atom_site_type_symbol
_atom_site_fract_x
_atom_site_fract_y
_atom_site_fract_z
K1 K 0.000 0.000 0.000
Sr1 Sr 0.250 0.250 0.250
Th1 Th 0.750 0.750 0.750
```

---

A relaxed structure of PrMgInS3. Source: OQMD via LeMat-Bulk, functional PBE.

E	-4.859	eV per atom
total magnetization	0.000	μB per atom
space group	Cmcm (63)

```
data_PrMgInS3
_chemical_formula_sum 'Pr2 Mg2 In2 S6'
_space_group_name_H-M_alt 'P 1'
_space_group_IT_number 1
_cell_length_a 7.281
_cell_length_b 7.281
_cell_length_c 11.296
_cell_angle_alpha 90.00
_cell_angle_beta 90.00
_cell_angle_gamma 146.55
loop_
_space_group_symop_operation_xyz
'x,y,z'
loop_
_atom_site_label
_atom_site_type_symbol
_atom_site_fract_x
_atom_site_fract_y
_atom_site_fract_z
In1 In 0.251 0.749 0.250
In2 In 0.749 0.251 0.750
Mg1 Mg 0.963 0.037 0.250
Mg2 Mg 0.037 0.963 0.750
Pr1 Pr 0.500 0.500 0.000
Pr2 Pr 0.500 0.500 0.500
S1 S 0.872 0.128 0.069
S2 S 0.561 0.439 0.250
S3 S 0.872 0.128 0.431
S4 S 0.128 0.872 0.569
S5 S 0.439 0.561 0.750
S6 S 0.128 0.872 0.931
```

---

A relaxed structure of SmGdNi4. Source: OQMD via LeMat-Bulk, functional PBE.

E	-5.231	eV per atom
total magnetization	0.113	μB per atom
formation energy	42	meV/atom
space group	P6/mmm (191)

```
data_SmGdNi4
_chemical_formula_sum 'Sm2 Gd2 Ni8'
_space_group_name_H-M_alt 'P 1'
_space_group_IT_number 1
_cell_length_a 5.382
_cell_length_b 5.382
_cell_length_c 8.144
_cell_angle_alpha 90.00
_cell_angle_beta 90.00
_cell_angle_gamma 120.00
loop_
_space_group_symop_operation_xyz
'x,y,z'
loop_
_atom_site_label
_atom_site_type_symbol
_atom_site_fract_x
_atom_site_fract_y
_atom_site_fract_z
Gd1 Gd 0.000 0.000 0.000
Gd2 Gd 0.000 0.000 0.500
Ni1 Ni 0.667 0.333 0.000
Ni2 Ni 0.333 0.667 0.000
Ni3 Ni 0.500 0.000 0.221
Ni4 Ni 0.000 0.500 0.221
Ni5 Ni 0.500 0.500 0.221
Ni6 Ni 0.500 0.000 0.779
Ni7 Ni 0.000 0.500 0.779
Ni8 Ni 0.500 0.500 0.779
Sm1 Sm 0.667 0.333 0.500
Sm2 Sm 0.333 0.667 0.500
```

---

A relaxed structure of KLiBiAu. Source: OQMD via LeMat-Bulk, functional PBE.

E	-2.785	eV per atom
space group	F-43m (216)

```
data_KLiBiAu
_chemical_formula_sum 'K1 Li1 Bi1 Au1'
_space_group_name_H-M_alt 'P 1'
_space_group_IT_number 1
_cell_length_a 5.182
_cell_length_b 5.182
_cell_length_c 5.182
_cell_angle_alpha 60.00
_cell_angle_beta 60.00
_cell_angle_gamma 60.00
loop_
_space_group_symop_operation_xyz
'x,y,z'
loop_
_atom_site_label
_atom_site_type_symbol
_atom_site_fract_x
_atom_site_fract_y
_atom_site_fract_z
Au1 Au 0.750 0.750 0.750
Bi1 Bi 0.000 0.000 0.000
K1 K 0.250 0.250 0.250
Li1 Li 0.500 0.500 0.500
```

---

A relaxed structure of PmSmSn. Source: OQMD via LeMat-Bulk, functional PBE.

E	-4.923	eV per atom
total magnetization	0.015	μB per atom
space group	F-43m (216)

```
data_PmSmSn
_chemical_formula_sum 'Pm1 Sm1 Sn1'
_space_group_name_H-M_alt 'P 1'
_space_group_IT_number 1
_cell_length_a 5.254
_cell_length_b 5.254
_cell_length_c 5.254
_cell_angle_alpha 60.00
_cell_angle_beta 60.00
_cell_angle_gamma 60.00
loop_
_space_group_symop_operation_xyz
'x,y,z'
loop_
_atom_site_label
_atom_site_type_symbol
_atom_site_fract_x
_atom_site_fract_y
_atom_site_fract_z
Pm1 Pm 0.000 0.000 0.000
Sm1 Sm 0.500 0.500 0.500
Sn1 Sn 0.750 0.750 0.750
```

---

A relaxed structure of ZrCuSbPd. Source: OQMD via LeMat-Bulk, functional PBE.

E	-5.695	eV per atom
total magnetization	0.000	μB per atom
space group	F-43m (216)

```
data_ZrCuSbPd
_chemical_formula_sum 'Zr1 Cu1 Sb1 Pd1'
_space_group_name_H-M_alt 'P 1'
_space_group_IT_number 1
_cell_length_a 4.696
_cell_length_b 4.696
_cell_length_c 4.696
_cell_angle_alpha 60.00
_cell_angle_beta 60.00
_cell_angle_gamma 60.00
loop_
_space_group_symop_operation_xyz
'x,y,z'
loop_
_atom_site_label
_atom_site_type_symbol
_atom_site_fract_x
_atom_site_fract_y
_atom_site_fract_z
Cu1 Cu 0.750 0.750 0.750
Pd1 Pd 0.500 0.500 0.500
Sb1 Sb 0.000 0.000 0.000
Zr1 Zr 0.250 0.250 0.250
```